w.
The following is a DFT calculation (PBE) of a relaxed structure of VHCl3.

Computed properties:
The calculation puts the volume at 107.8 Å³ per cell.

abc: 4.760 4.760 4.760
angles: 90.00 90.00 90.00
Each line ends with the local moment (μB).
Element x y z (fractional)
H1 0.500 0.500 0.500  0.37
V1 0.000 0.000 0.000  1.87
Cl1 0.000 0.500 0.000  -0.01
Cl2 0.000 0.000 0.500  -0.01
Cl3 0.500 0.000 0.000  -0.01


x.
The following is a DFT calculation (PBE) of a relaxed structure of VHCl3.

Computed properties:
The calculation puts the volume at 81.6 Å³ per cell.

abc: 4.338 4.338 4.338
angles: 90.00 90.00 90.00
Each line ends with the local moment (μB).
Element x y z (fractional)
H1 0.000 0.000 0.000  0.02
V1 0.500 0.500 0.500  2.76
Cl1 0.000 0.500 0.000  -0.08
Cl2 0.000 0.000 0.500  -0.08
Cl3 0.500 0.000 0.000  -0.08


The structure with the least stability is x.


w.
The following is a DFT calculation (PBE) of a relaxed structure of VH3Cl.

Computed properties:
The calculation puts the volume at 52.5 Å³ per cell.

abc: 3.745 3.745 3.745
angles: 90.00 90.00 90.00
Each line ends with the local moment (μB).
Element x y z (fractional)
H1 0.000 0.500 0.000  -0.03
H2 0.000 0.000 0.500  -0.03
H3 0.500 0.000 0.000  -0.03
V1 0.500 0.500 0.500  3.08
Cl1 0.000 0.000 0.000  0.11


x.
The following is a DFT calculation (PBE) of a relaxed structure of VH3Cl.

Computed properties:
The calculation puts the volume at 46.6 Å³ per cell.

abc: 3.598 3.598 3.598
angles: 90.00 90.00 90.00
Each line ends with the local moment (μB).
Element x y z (fractional)
H1 0.000 0.500 0.000  -0.05
H2 0.000 0.000 0.500  -0.05
H3 0.500 0.000 0.000  -0.05
V1 0.000 0.000 0.000  1.38
Cl1 0.500 0.500 0.500  -0.23


The structure with the least stability is w.


w.
The following is a DFT calculation (PBE) of a relaxed structure of H3WCl.

Computed properties:
The calculation puts the volume at 51.1 Å³ per cell.

abc: 3.711 3.711 3.711
angles: 90.00 90.00 90.00
Each line ends with the local moment (μB).
Element x y z (fractional)
H1 0.000 0.500 0.000  -0.02
H2 0.000 0.000 0.500  -0.02
H3 0.500 0.000 0.000  -0.02
W1 0.000 0.000 0.000  1.70
Cl1 0.500 0.500 0.500  0.01


x.
The following is a DFT calculation (PBE) of a relaxed structure of H3WCl.

Computed properties:
The calculation puts the volume at 42.2 Å³ per cell.

abc: 3.483 3.483 3.483
angles: 90.00 90.00 90.00
Element x y z (fractional)
H1 0.000 0.500 0.000
H2 0.000 0.000 0.500
H3 0.500 0.000 0.000
W1 0.500 0.500 0.500
Cl1 0.000 0.000 0.000


The structure with the least stability is x.


w.
The following is a DFT calculation (PBE) of a relaxed structure of HWCl3.

Computed properties:
The calculation puts the volume at 110.3 Å³ per cell.

abc: 4.796 4.796 4.796
angles: 90.00 90.00 90.00
Each line ends with the local moment (μB).
Element x y z (fractional)
H1 0.500 0.500 0.500  0.38
W1 0.000 0.000 0.000  0.93
Cl1 0.000 0.500 0.000  0.04
Cl2 0.000 0.000 0.500  0.02
Cl3 0.500 0.000 0.000  0.10


x.
The following is a DFT calculation (PBE) of a relaxed structure of HWCl3.

Computed properties:
The calculation puts the volume at 80.6 Å³ per cell.

abc: 4.320 4.320 4.320
angles: 90.00 90.00 90.00
Each line ends with the local moment (μB).
Element x y z (fractional)
H1 0.000 0.000 0.000  0.02
W1 0.500 0.500 0.500  2.94
Cl1 0.000 0.500 0.000  -0.05
Cl2 0.000 0.000 0.500  -0.01
Cl3 0.500 0.000 0.000  -0.01


The structure with the least stability is x.


w.
The following is a DFT calculation (PBE) of a relaxed structure of YHCl3.

Computed properties:
The calculation puts the volume at 314.2 Å³ per cell.

abc: 7.222 7.223 8.106
angles: 90.03 63.61 59.99
Each line ends with the local moment (μB).
Element x y z (fractional)
Y1 0.046 0.932 0.740  0.00
Y2 0.380 0.265 0.739  0.00
H1 0.893 0.509 0.471  0.38
H2 0.534 0.688 0.009  0.38
Cl1 0.372 0.018 0.500  0.01
Cl2 0.054 0.678 0.979  0.01
Cl3 0.554 0.178 0.979  0.01
Cl4 0.054 0.178 0.979  0.01
Cl5 0.372 0.519 0.500  0.01
Cl6 0.873 0.018 0.500  0.01


x.
The following is a DFT calculation (PBE) of a relaxed structure of YHCl3.

Computed properties:
The calculation puts the volume at 148.5 Å³ per cell.

abc: 5.295 5.295 5.295
angles: 90.00 90.00 90.00
Each line ends with the local moment (μB).
Element x y z (fractional)
Y1 0.000 0.000 0.000  0.00
H1 0.500 0.500 0.500  0.38
Cl1 0.000 0.500 0.000  0.01
Cl2 0.000 0.000 0.500  0.01
Cl3 0.500 0.000 0.000  0.01


y.
The following is a DFT calculation (PBE) of a relaxed structure of YHCl3.

Computed properties:
The calculation puts the volume at 86.1 Å³ per cell.

abc: 4.416 4.416 4.416
angles: 90.00 90.00 90.00
Element x y z (fractional)
Y1 0.500 0.500 0.500
H1 0.000 0.000 0.000
Cl1 0.000 0.500 0.000
Cl2 0.000 0.000 0.500
Cl3 0.500 0.000 0.000


The structure with the least stability is y.


w.
The following is a DFT calculation (PBE) of a relaxed structure of YH2Cl.

Computed properties:
The calculation puts the volume at 126.3 Å³ per cell.

abc: 4.297 4.297 7.484
angles: 73.32 73.32 90.00
Element x y z (fractional)
Y1 0.000 0.000 0.000
Y2 0.750 0.250 0.500
H1 0.876 0.125 0.250
H2 0.874 0.625 0.250
H3 0.375 0.124 0.750
H4 0.875 0.126 0.750
Cl1 0.500 0.500 0.000
Cl2 0.250 0.750 0.500


x.
The following is a DFT calculation (PBE) of a relaxed structure of YH2Cl.

Computed properties:
The calculation puts the volume at 51.4 Å³ per cell.

abc: 4.172 4.172 4.172
angles: 60.00 60.00 60.00
Element x y z (fractional)
Y1 0.500 0.500 0.500
H1 0.250 0.250 0.250
H2 0.750 0.750 0.750
Cl1 0.000 0.000 0.000


The structure with the least stability is x.


w.
The following is a DFT calculation (PBE) of a relaxed structure of Zn2HCl.

Computed properties:
The calculation puts the volume at 63.9 Å³ per cell.

abc: 4.487 4.487 4.487
angles: 60.00 60.00 60.00
Element x y z (fractional)
H1 0.000 0.000 0.000
Zn1 0.250 0.250 0.250
Zn2 0.750 0.750 0.750
Cl1 0.500 0.500 0.500


x.
The following is a DFT calculation (PBE) of a relaxed structure of Zn2HCl.

Computed properties:
The calculation puts the volume at 137.2 Å³ per cell.

abc: 4.657 4.657 7.130
angles: 70.94 70.94 90.00
Element x y z (fractional)
H1 0.500 0.500 0.000
H2 0.250 0.750 0.500
Zn1 0.474 0.125 0.250
Zn2 0.276 0.625 0.250
Zn3 0.375 0.526 0.750
Zn4 0.875 0.724 0.750
Cl1 0.000 0.000 0.000
Cl2 0.750 0.250 0.500


The structure with the least stability is w.


w.
The following is a DFT calculation (PBE) of a relaxed structure of Zn3HCl.

Computed properties:
The calculation puts the volume at 152.2 Å³ per cell.

abc: 5.339 5.339 5.339
angles: 90.00 90.00 90.00
Each line ends with the local moment (μB).
Element x y z (fractional)
H1 0.500 0.500 0.500  0.17
Zn1 0.000 0.500 0.000  0.00
Zn2 0.000 0.000 0.500  0.00
Zn3 0.500 0.000 0.000  0.00
Cl1 0.000 0.000 0.000  -0.05


x.
The following is a DFT calculation (PBE) of a relaxed structure of Zn3HCl.

Computed properties:
The calculation puts the volume at 82.4 Å³ per cell.

abc: 4.352 4.352 4.352
angles: 90.00 90.00 90.00
Element x y z (fractional)
H1 0.000 0.000 0.000
Zn1 0.000 0.500 0.000
Zn2 0.000 0.000 0.500
Zn3 0.500 0.000 0.000
Cl1 0.500 0.500 0.500


The structure with the least stability is w.